## RuRh2I (SCAN)

Data for a PBEsol-optimized structure of RuRh2I.

Cell lengths 4.462, 4.462, 4.462 Å; angles 60.00, 60.00, 60.00 degrees
Element x y z (fractional)
I  0.500  0.500  0.500
Ru  0.000  0.000  0.000
Rh  0.250  0.250  0.250
Rh  0.750  0.750  0.750

Properties
formation energy (no corrections): 827 meV per atom

***

## YFeCl2 (SCAN)

Data for a PBEsol-optimized structure of YFeCl2.

Cell lengths 4.796, 4.796, 4.796 Å; angles 60.00, 60.00, 60.00 degrees
Site moments in Bohr magnetons follow the coordinates.
Element x y z (fractional)
Y  0.750  0.750  0.750  -0.19
Fe  0.500  0.500  0.500  2.77
Cl  0.000  0.000  0.000  0.06
Cl  0.250  0.250  0.250  0.14

Properties
formation energy (no corrections): -426 meV per atom
relative energy among the computed polymorphs: 636 meV per atom

***

## Cs3GeAsSe5 (SCAN)

Data for a PBEsol-optimized structure of Cs3GeAsSe5.

Cell lengths 7.539, 9.592, 19.544 Å; angles 90.00, 99.85, 90.00 degrees
Element x y z (fractional)
Cs  0.421  0.062  0.262
Cs  0.869  0.802  0.956
Cs  0.079  0.562  0.238
Cs  0.464  0.711  0.084
Cs  0.921  0.438  0.762
Cs  0.536  0.289  0.916
Cs  0.369  0.698  0.456
Cs  0.036  0.211  0.416
Cs  0.964  0.789  0.584
Cs  0.579  0.938  0.738
Cs  0.131  0.198  0.044
Cs  0.631  0.302  0.544
Ge  0.296  0.706  0.870
Ge  0.704  0.294  0.130
Ge  0.204  0.206  0.630
Ge  0.796  0.794  0.370
As  0.638  0.459  0.301
As  0.362  0.541  0.699
As  0.862  0.959  0.199
As  0.138  0.041  0.801
Se  0.103  0.412  0.573
Se  0.074  0.792  0.773
Se  0.603  0.088  0.073
Se  0.322  0.036  0.567
Se  0.538  0.611  0.817
Se  0.822  0.464  0.067
Se  0.426  0.292  0.727
Se  0.575  0.619  0.634
Se  0.038  0.889  0.317
Se  0.425  0.381  0.366
Se  0.178  0.536  0.933
Se  0.678  0.964  0.433
Se  0.574  0.708  0.273
Se  0.925  0.119  0.866
Se  0.397  0.912  0.927
Se  0.897  0.588  0.427
Se  0.075  0.881  0.134
Se  0.962  0.111  0.683
Se  0.462  0.389  0.183
Se  0.926  0.208  0.227

Properties
formation energy (no corrections): -929 meV per atom